(1)
DFT (GGA-PBE) results for a relaxed Nb3MoSe6 crystal.

a b c (Å): 8.3872 8.3872 8.3872
angles (deg): 68.37 68.37 68.37
Closest atoms and distances in Å follow each position.
Positions (direct):
Nb 0.3591 0.8793 0.7473  5 Se 2.48-2.73
Nb 0.8793 0.7473 0.3591  5 Se 2.48-2.73
Nb 0.2527 0.6409 0.1207  5 Se 2.48-2.73
Nb 0.7473 0.3591 0.8793  5 Se 2.48-2.73
Nb 0.1207 0.2527 0.6409  5 Se 2.48-2.73
Nb 0.6409 0.1207 0.2527  5 Se 2.48-2.73
Mo 0.0000 0.0000 0.0000  6 Se 2.65
Mo 0.5000 0.5000 0.5000  6 Se 2.66
Se 0.3190 0.9295 0.0429  2 Nb 2.48-2.55, 1 Mo 2.65
Se 0.0705 0.9571 0.6810  2 Nb 2.48-2.55, 1 Mo 2.65
Se 0.5303 0.8272 0.4170  3 Nb 2.65-2.73, 1 Mo 2.66
Se 0.9571 0.6810 0.0705  2 Nb 2.48-2.55, 1 Mo 2.65
Se 0.4170 0.5303 0.8272  3 Nb 2.65-2.73, 1 Mo 2.66
Se 0.1728 0.5830 0.4697  3 Nb 2.65-2.73, 1 Mo 2.66
Se 0.8272 0.4170 0.5303  3 Nb 2.65-2.73, 1 Mo 2.66
Se 0.5830 0.4697 0.1728  3 Nb 2.65-2.73, 1 Mo 2.66
Se 0.0429 0.3190 0.9295  2 Nb 2.48-2.55, 1 Mo 2.65
Se 0.4697 0.1728 0.5830  3 Nb 2.65-2.73, 1 Mo 2.66
Se 0.9295 0.0429 0.3190  2 Nb 2.48-2.55, 1 Mo 2.65
Se 0.6810 0.0705 0.9571  2 Nb 2.48-2.55, 1 Mo 2.65

Magnetic moment (μB/cell): 3.009
Energy relative to the elements, uncorrected (eV/atom): -0.539
Density (g/cm³): 5.74

---

(2)
DFT (GGA-PBE) results for a relaxed NbTe4Mo2Se2 crystal.

a b c (Å): 3.5278 3.5278 22.3274
angles (deg): 90.00 90.00 120.00
Closest atoms and distances in Å follow each position.
Positions (direct):
Nb 0.0000 0.0000 0.3295  6 Se 2.63
Te 0.0000 0.0000 0.5658  3 Mo 2.73
Te 0.6667 0.3333 0.0637  3 Mo 2.73
Te 0.6667 0.3333 0.9005  3 Mo 2.73
Te 0.0000 0.0000 0.7291  3 Mo 2.73
Mo 0.0000 0.0000 0.9821  6 Te 2.73
Mo 0.6667 0.3333 0.6475  6 Te 2.73
Se 0.6667 0.3333 0.4041  3 Nb 2.63
Se 0.6667 0.3333 0.2548  3 Nb 2.63

Magnetic moment (μB/cell): 0.000
Energy relative to the elements, uncorrected (eV/atom): -0.472
Density (g/cm³): 6.58

---

(3)
DFT (GGA-PBE) results for a relaxed NbSi6Mo2 crystal.

a b c (Å): 4.7118 4.6867 6.5680
angles (deg): 90.00 90.00 120.18
Closest atoms and distances in Å follow each position.
Positions (direct):
Nb 0.5000 0.0000 0.0000  10 Si 2.60-2.74
Si 0.8377 0.6754 0.0000  5 Si 2.56-2.75, 2 Mo 2.60, 3 Nb 2.70-2.74
Si 0.3240 0.1640 0.6651  5 Si 2.54-2.77, 4 Mo 2.56-2.75, 1 Nb 2.60
Si 0.8400 0.1640 0.3349  5 Si 2.54-2.77, 4 Mo 2.56-2.75, 1 Nb 2.60
Si 0.1623 0.3246 0.0000  5 Si 2.56-2.75, 2 Mo 2.60, 3 Nb 2.70-2.74
Si 0.6760 0.8360 0.6651  5 Si 2.54-2.77, 4 Mo 2.56-2.75, 1 Nb 2.60
Si 0.1600 0.8360 0.3349  5 Si 2.54-2.77, 4 Mo 2.56-2.75, 1 Nb 2.60
Mo 0.0000 0.5000 0.6650  10 Si 2.56-2.75
Mo 0.5000 0.5000 0.3350  10 Si 2.56-2.75

Magnetic moment (μB/cell): 0.000
Energy relative to the elements, uncorrected (eV/atom): -0.496
Density (g/cm³): 6.00

---

(4)
DFT (GGA-PBE) results for a relaxed NbSiMo2 crystal.

a b c (Å): 7.4223 7.4223 5.8195
angles (deg): 50.38 50.38 90.00
Closest atoms and distances in Å follow each position.
Positions (direct):
Mo 0.5629 0.1250 0.2500  2 Si 2.40, 2 Mo 2.68
Mo 0.1871 0.6250 0.2500  2 Si 2.40, 2 Mo 2.68
Mo 0.3750 0.4371 0.7500  2 Si 2.40, 2 Mo 2.68
Mo 0.8750 0.8129 0.7500  2 Si 2.40, 2 Mo 2.68
Si 0.5000 0.5000 0.0000  4 Mo 2.40, 2 Nb 2.51
Si 0.2500 0.7500 0.5000  4 Mo 2.40, 2 Nb 2.51
Nb 0.0000 0.0000 0.0000  2 Si 2.51
Nb 0.7500 0.2500 0.5000  2 Si 2.51

Magnetic moment (μB/cell): 0.000
Energy relative to the elements, uncorrected (eV/atom): 0.478
Density (g/cm³): 7.50

---

(5)
DFT (GGA-PBE) results for a relaxed Nb5Si6Mo5 crystal.

a b c (Å): 7.3942 7.3942 9.8132
angles (deg): 48.56 48.56 40.00
Closest atoms and distances in Å follow each position.
Positions (direct):
Nb 0.5766 0.5766 0.7015  4 Si 2.57-2.65, 1 Mo 2.84
Nb 0.9229 0.9229 0.8532  6 Si 2.59-2.89, 1 Mo 2.83
Nb 0.0772 0.0772 0.1475  6 Si 2.58-2.87, 1 Mo 2.78
Nb 0.2501 0.7507 0.4999  2 Nb 2.53, 4 Si 2.65-2.69
Nb 0.7507 0.2501 0.4999  2 Nb 2.53, 4 Si 2.65-2.69
Si 0.7462 0.2499 0.0041  2 Si 2.51-2.55, 5 Mo 2.60-2.64, 3 Nb 2.64-2.66
Si 0.2499 0.7462 0.0041  2 Si 2.51-2.55, 5 Mo 2.60-2.64, 3 Nb 2.64-2.66
Si 0.8326 0.8326 0.4974  4 Nb 2.57-2.67, 2 Mo 2.58-2.61
Si 0.1724 0.1724 0.4969  3 Mo 2.55-2.62, 3 Nb 2.68-2.69
Si 0.6658 0.6658 0.1644  5 Nb 2.59-2.87, 3 Mo 2.59-2.63
Si 0.3327 0.3327 0.8345  2 Mo 2.58-2.60, 6 Nb 2.58-2.89
Mo 0.2780 0.2780 0.1462  4 Si 2.58-2.62, 1 Nb 2.78
Mo 0.7205 0.7205 0.8499  6 Si 2.61-2.92, 1 Nb 2.83, 2 Mo 2.89
Mo 0.2203 0.2203 0.7075  4 Si 2.58-2.64, 1 Mo 2.85
Mo 0.7790 0.7790 0.2939  4 Si 2.58-2.63, 1 Nb 2.84
Mo 0.4250 0.4250 0.2990  4 Si 2.55-2.62, 1 Mo 2.85

Magnetic moment (μB/cell): 0.000
Energy relative to the elements, uncorrected (eV/atom): -0.512
Density (g/cm³): 7.55

---

(6)
DFT (GGA-PBE) results for a relaxed Nb3SiMo crystal.

a b c (Å): 4.6207 4.6207 4.6207
angles (deg): 90.00 90.00 90.00
Closest atoms and distances in Å follow each position.
Positions (direct):
Mo 0.5000 0.5000 0.5000  12 Nb 3.27
Si 0.0000 0.0000 0.0000  6 Nb 2.31
Nb 0.0000 0.5000 0.0000  2 Si 2.31
Nb 0.0000 0.0000 0.5000  2 Si 2.31
Nb 0.5000 0.0000 0.0000  2 Si 2.31

Magnetic moment (μB/cell): 0.000
Energy relative to the elements, uncorrected (eV/atom): 0.869
Polymorph energy (0 for the lowest one) (meV/atom): 0
Density (g/cm³): 6.78

---

(7)
DFT (GGA-PBE) results for a relaxed Nb2Si6Mo crystal.

a b c (Å): 4.7426 4.7742 6.5739
angles (deg): 90.00 90.00 119.78
Closest atoms and distances in Å follow each position.
Positions (direct):
Nb 0.0000 0.5000 0.6660  10 Si 2.60-2.80
Nb 0.5000 0.5000 0.3340  10 Si 2.60-2.80
Si 0.8395 0.6790 0.0000  5 Si 2.55-2.80, 2 Nb 2.60, 3 Mo 2.72-2.81
Si 0.3197 0.1574 0.6690  5 Si 2.55-2.84, 1 Mo 2.58, 4 Nb 2.62-2.80
Si 0.8377 0.1574 0.3310  5 Si 2.55-2.84, 1 Mo 2.58, 4 Nb 2.62-2.80
Si 0.1605 0.3210 0.0000  5 Si 2.55-2.80, 2 Nb 2.60, 3 Mo 2.72-2.81
Si 0.6803 0.8426 0.6690  5 Si 2.55-2.84, 1 Mo 2.58, 4 Nb 2.62-2.80
Si 0.1623 0.8426 0.3310  5 Si 2.55-2.84, 1 Mo 2.58, 4 Nb 2.62-2.80
Mo 0.5000 0.0000 0.0000  10 Si 2.58-2.81

Magnetic moment (μB/cell): 0.000
Energy relative to the elements, uncorrected (eV/atom): -0.524
Density (g/cm³): 5.79

---

(8)
DFT (GGA-PBE) results for a relaxed Nb3SiMo crystal.

a b c (Å): 4.8024 4.8024 4.8024
angles (deg): 90.00 90.00 90.00
Closest atoms and distances in Å follow each position.
Positions (direct):
Mo 0.0000 0.0000 0.0000  6 Nb 2.40
Si 0.5000 0.5000 0.5000  12 Nb 3.40
Nb 0.0000 0.5000 0.0000  2 Mo 2.40
Nb 0.0000 0.0000 0.5000  2 Mo 2.40
Nb 0.5000 0.0000 0.0000  2 Mo 2.40

Magnetic moment (μB/cell): 0.000
Energy relative to the elements, uncorrected (eV/atom): 1.317
Polymorph energy (0 for the lowest one) (meV/atom): 448
Density (g/cm³): 6.04

---

(9)
DFT (GGA-PBE) results for a relaxed NbSi4Mo crystal.

a b c (Å): 13.1275 4.7172 4.7324
angles (deg): 60.30 90.00 90.00
Closest atoms and distances in Å follow each position.
Positions (direct):
Nb 0.2499 0.0000 0.5000  10 Si 2.60-2.78
Nb 0.5841 0.5000 0.5000  10 Si 2.60-2.76
Nb 0.0827 0.5000 0.5000  10 Si 2.60-2.78
Si 0.9158 0.8419 0.3238  5 Si 2.55-2.80, 4 Mo 2.56-2.78, 1 Nb 2.60
Si 0.4167 0.8380 0.3208  5 Si 2.54-2.79, 2 Nb 2.60, 3 Mo 2.69-2.79
Si 0.7508 0.3227 0.8411  5 Si 2.55-2.81, 4 Mo 2.56-2.78, 1 Nb 2.60
Si 0.2510 0.3208 0.8415  5 Si 2.54-2.81, 1 Mo 2.58, 4 Nb 2.62-2.78
Si 0.5834 0.8394 0.8365  5 Si 2.56-2.78, 2 Mo 2.59-2.60, 3 Nb 2.71-2.76
Si 0.0822 0.8364 0.8433  5 Si 2.55-2.82, 1 Mo 2.59, 4 Nb 2.62-2.78
Si 0.9158 0.1581 0.6762  5 Si 2.55-2.80, 4 Mo 2.56-2.78, 1 Nb 2.60
Si 0.4167 0.1620 0.6792  5 Si 2.54-2.79, 2 Nb 2.60, 3 Mo 2.69-2.79
Si 0.7508 0.6773 0.1589  5 Si 2.55-2.81, 4 Mo 2.56-2.78, 1 Nb 2.60
Si 0.2510 0.6792 0.1585  5 Si 2.54-2.81, 1 Mo 2.58, 4 Nb 2.62-2.78
Si 0.5834 0.1606 0.1635  5 Si 2.56-2.78, 2 Mo 2.59-2.60, 3 Nb 2.71-2.76
Si 0.0822 0.1636 0.1567  5 Si 2.55-2.82, 1 Mo 2.59, 4 Nb 2.62-2.78
Mo 0.9156 0.5000 0.0000  10 Si 2.56-2.78
Mo 0.4170 0.5000 0.0000  10 Si 2.58-2.79
Mo 0.7508 0.0000 0.5000  10 Si 2.56-2.78

Magnetic moment (μB/cell): 0.000
Energy relative to the elements, uncorrected (eV/atom): -0.509
Polymorph energy (0 for the lowest one) (meV/atom): 0
Density (g/cm³): 5.89

---

(10)
DFT (GGA-PBE) results for a relaxed NbSi2Mo crystal.

a b c (Å): 3.7897 3.7897 9.5605
angles (deg): 78.57 78.57 90.00
Closest atoms and distances in Å follow each position.
Positions (direct):
Mo 0.0000 0.0000 0.0000  4 Si 2.65, 4 Nb 2.68
Mo 0.7500 0.2500 0.5000  4 Si 2.65, 4 Nb 2.68
Si 0.6318 0.1250 0.2500  4 Si 2.64-2.72, 2 Mo 2.65, 2 Nb 2.67
Si 0.1182 0.6250 0.2500  4 Si 2.64-2.72, 2 Mo 2.65, 2 Nb 2.67
Si 0.3750 0.3682 0.7500  4 Si 2.64-2.72, 2 Mo 2.65, 2 Nb 2.67
Si 0.8750 0.8818 0.7500  4 Si 2.64-2.72, 2 Mo 2.65, 2 Nb 2.67
Nb 0.5000 0.5000 0.0000  4 Si 2.67, 4 Mo 2.68
Nb 0.2500 0.7500 0.5000  4 Si 2.67, 4 Mo 2.68

Magnetic moment (μB/cell): 0.000
Energy relative to the elements, uncorrected (eV/atom): 0.165
Polymorph energy (0 for the lowest one) (meV/atom): 319
Density (g/cm³): 6.17

---

(11)
DFT (GGA-PBE) results for a relaxed NbSi3Mo crystal.

a b c (Å): 4.8003 4.8003 4.8003
angles (deg): 90.00 90.00 90.00
Closest atoms and distances in Å follow each position.
Positions (direct):
Mo 0.5000 0.5000 0.5000  12 Si 3.39
Si 0.0000 0.5000 0.0000  2 Nb 2.40
Si 0.0000 0.0000 0.5000  2 Nb 2.40
Si 0.5000 0.0000 0.0000  2 Nb 2.40
Nb 0.0000 0.0000 0.0000  6 Si 2.40

Magnetic moment (μB/cell): 4.388
Energy relative to the elements, uncorrected (eV/atom): 1.248
Polymorph energy (0 for the lowest one) (meV/atom): 269
Density (g/cm³): 4.10

---

(12)
DFT (GGA-PBE) results for a relaxed NbSi2Mo crystal.

a b c (Å): 3.6514 3.6514 6.0451
angles (deg): 72.42 72.42 60.00
Closest atoms and distances in Å follow each position.
Positions (direct):
Mo 0.0000 0.0000 0.0000  6 Si 2.50
Si 0.2541 0.2541 0.2376  3 Mo 2.50, 3 Nb 2.58
Si 0.7459 0.7459 0.7624  3 Mo 2.50, 3 Nb 2.58
Nb 0.5000 0.5000 0.5000  6 Si 2.58

Magnetic moment (μB/cell): 0.000
Energy relative to the elements, uncorrected (eV/atom): -0.010
Polymorph energy (0 for the lowest one) (meV/atom): 143
Density (g/cm³): 6.22